# 1
{"formula": "CoAgSe2", "functional": "PBE-GGA", "state": "relaxed", "vol_a3_per_atom": 24.05, "spacegroup": "Cm (8)", "cell": [[-0.731, -4.902, -1.990], [1.853, -3.736, -3.337], [3.482, -3.370, 3.764]], "species": ["Se", "Co", "Ag", "Se"], "fractional_positions": [[0.916, 0.916, 0.128], [0.289, 0.289, 0.369], [0.566, 0.566, 0.356], [0.729, 0.729, 0.647]]}


# 2
{"formula": "CoAgSe2", "functional": "PBE-GGA", "state": "relaxed", "vol_a3_per_atom": 21.90, "spacegroup": "Immm (71)", "cell": [[6.390, 0.190, -0.035], [3.786, 5.151, 0.035], [-4.760, -3.294, 2.712]], "species": ["Ag", "Co", "Se", "Se"], "fractional_positions": [[0.250, 0.750, 0.500], [0.750, 0.250, 0.500], [0.610, 0.610, 0.000], [0.890, 0.890, 0.000]]}


# 3
{"formula": "CoAg2Se", "functional": "PBE-GGA", "state": "relaxed", "vol_a3_per_atom": 17.55, "spacegroup": "Cmmm (65)", "cell": [[-1.958, -0.408, -1.965], [1.968, -0.947, -1.757], [-1.300, -8.305, 3.020]], "species": ["Co", "Ag", "Ag", "Se"], "fractional_positions": [[0.500, 0.500, 0.250], [0.000, 0.000, 0.035], [0.000, 0.000, 0.465], [0.500, 0.500, 0.750]]}


Result set for calculated density: 5.60; 6.16; 8.36 g cm⁻³, one per record in the order listed.
Result set for E_tot: -4.233; -4.250; -3.699 eV per atom, one per record in the order listed.
Result set for formation energy from raw total energies: -0.15; -1.77; 36.07 kJ per mole of atoms, one per record in the order listed.